[1]
A plane-wave DFT calculation with SCAN was carried out for MnGa2S4 at its PBEsol-relaxed geometry.

Summary:
Raw formation energy (eV/atom): -0.90

Lattice parameters (Å, degrees): 5.343 5.343 10.242 90.00 90.00 90.00
Space group I-4 (No. 82)
Unique sites:
Mn  0.000  0.000  0.000 (multiplicity 2)
Ga  0.000  0.000  0.500 (multiplicity 2)
Ga  0.000  0.500  0.750 (multiplicity 2)
S  0.237  0.250  0.368 (multiplicity 8)

***

[2]
A plane-wave DFT calculation with SCAN was carried out for MnGa2S4 at its PBEsol-relaxed geometry.

Summary:
Raw formation energy (eV/atom): -0.84

Lattice parameters (Å, degrees): 6.102 3.649 6.625 90.00 90.35 90.00
Space group Pm (No. 6)
Unique sites:
Mn  0.000  0.000  0.000 (multiplicity 1)
Ga  0.018  0.500  0.521 (multiplicity 1)
Ga  0.468  0.500  0.209 (multiplicity 1)
S  0.380  0.500  0.529 (multiplicity 1)
S  0.386  0.000  0.008 (multiplicity 1)
S  0.854  0.000  0.671 (multiplicity 1)
S  0.859  0.500  0.196 (multiplicity 1)

***

[3]
A plane-wave DFT calculation with SCAN was carried out for Mn2Ga2S5 at its PBEsol-relaxed geometry.

Summary:
Raw formation energy (eV/atom): -0.88

Lattice parameters (Å, degrees): 3.5902 3.5902 15.0749 90.00 90.00 120.00
Space group P-3m1 (No. 164)
Unique sites:
Mn  0.3333  0.6667  0.0907 (multiplicity 2)
Ga  0.3333  0.6667  0.6759 (multiplicity 2)
S  0.0000  0.0000  0.0000 (multiplicity 1)
S  0.3333  0.6667  0.3937 (multiplicity 2)
S  0.3333  0.6667  0.8231 (multiplicity 2)

***

[4]
A plane-wave DFT calculation with SCAN was carried out for ScMnGaS4 at its PBEsol-relaxed geometry.

Summary:
Raw formation energy (eV/atom): -1.38

Lattice parameters (Å, degrees): 12.634 7.285 6.030 90.00 90.00 90.00
Space group Pnma (No. 62)
Unique sites:
Sc  0.234  0.250  0.002 (multiplicity 4)
Mn  0.000  0.000  0.500 (multiplicity 4)
Ga  0.088  0.750  0.922 (multiplicity 4)
S  0.073  0.250  0.252 (multiplicity 4)
S  0.088  0.750  0.291 (multiplicity 4)
S  0.168  0.508  0.746 (multiplicity 8)

***

[5]
A plane-wave DFT calculation with SCAN was carried out for Sc3Mn2Ga6 at its PBEsol-relaxed geometry.

Summary:
Energy of formation from the pure elements (eV/atom): -0.591

Lattice parameters (Å, degrees): 7.942 8.403 10.390 90.00 90.00 90.00
Space group Pnma (No. 62)
Unique sites:
Sc  0.040  0.250  0.062 (multiplicity 4)
Sc  0.064  0.554  0.638 (multiplicity 8)
Mn  0.140  0.250  0.765 (multiplicity 4)
Mn  0.191  0.250  0.518 (multiplicity 4)
Ga  0.094  0.750  0.412 (multiplicity 4)
Ga  0.116  0.584  0.155 (multiplicity 8)
Ga  0.206  0.005  0.912 (multiplicity 8)
Ga  0.220  0.250  0.281 (multiplicity 4)

***

[6]
A plane-wave DFT calculation with SCAN was carried out for MnGaTc2Se at its PBEsol-relaxed geometry.

Summary:
Raw formation energy (eV/atom): 0.83

Lattice parameters (Å, degrees): 4.500 4.500 4.259 90.00 90.00 90.00
Space group P4/mmm (No. 123)
Unique sites:
Mn  0.000  0.000  0.000 (multiplicity 1)
Ga  0.500  0.500  0.000 (multiplicity 1)
Tc  0.000  0.500  0.500 (multiplicity 2)
Se  0.000  0.000  0.500 (multiplicity 1)